First-principles (PBE-GGA) data for a geometry-optimized Tb2CuTc structure, as listed in Alexandria.

abc: 3.458 3.458 7.014
angles: 90.00 90.00 90.00
Sites, in units of the cell vectors:
Tb1 0.000 0.000 0.763
Tb2 0.000 0.000 0.237
Tc1 0.500 0.500 0.000
Cu1 0.500 0.500 0.500

Values from the calculation:
ΔH_f (0 K) (eV/atom): -0.106
Crystal system: tetragonal
V (Å³/atom): 21.0
SG: P4/mmm
Final energy (eV/atom): -6.04

=====

First-principles (PBE-GGA) data for a geometry-optimized TbTmCuTc structure, as listed in Alexandria.

abc: 4.845 4.845 4.845
angles: 60.00 60.00 60.00
Sites, in units of the cell vectors:
Tm1 0.500 0.500 0.500
Tb1 0.000 0.000 0.000
Tc1 0.750 0.750 0.750
Cu1 0.250 0.250 0.250

Values from the calculation:
ΔH_f (0 K) (eV/atom): -0.116
Crystal system: cubic
V (Å³/atom): 20.1
SG: F-43m
Final energy (eV/atom): -6.01

=====

First-principles (PBE-GGA) data for a geometry-optimized TbYCuTc structure, as listed in Alexandria.

abc: 4.888 4.888 4.888
angles: 60.00 60.00 60.00
Sites, in units of the cell vectors:
Y1 0.750 0.750 0.750
Tb1 0.250 0.250 0.250
Tc1 0.500 0.500 0.500
Cu1 0.000 0.000 0.000

Values from the calculation:
ΔH_f (0 K) (eV/atom): -0.074
Crystal system: cubic
V (Å³/atom): 20.6
SG: F-43m
Final energy (eV/atom): -6.46

=====

First-principles (PBE-GGA) data for a geometry-optimized TbZrCuTc structure, as listed in Alexandria.

abc: 4.762 4.762 4.762
angles: 60.00 60.00 60.00
Sites, in units of the cell vectors:
Cu1 0.750 0.750 0.750
Tb1 0.500 0.500 0.500
Tc1 0.250 0.250 0.250
Zr1 0.000 0.000 0.000

Values from the calculation:
ΔH_f (0 K) (eV/atom): -0.152
Crystal system: cubic
V (Å³/atom): 19.1
SG: F-43m
Final energy (eV/atom): -7.06

=====

First-principles (PBE-GGA) data for a geometry-optimized Tb4CuTe2 structure, as listed in Alexandria.

abc: 4.125 7.160 8.047
angles: 115.92 104.85 90.00
Sites, in units of the cell vectors:
Tb1 0.895 0.242 0.791
Tb2 0.105 0.758 0.209
Tb3 0.607 0.291 0.214
Tb4 0.393 0.709 0.786
Cu1 0.000 0.000 0.000
Te1 0.755 0.761 0.509
Te2 0.245 0.239 0.491

Values from the calculation:
Crystal system: monoclinic
V (Å³/atom): 29.3
Uncorrected formation energy (eV per atom): -0.7329
SG: C2/m
Final energy (eV/atom): -4.86

=====

First-principles (PBE-GGA) data for a geometry-optimized Tb3Cu5Te12 structure, as listed in Alexandria.

abc: 14.402 14.402 14.402
angles: 109.47 109.47 109.47
Sites, in units of the cell vectors:
Tb1 0.750 0.375 0.125
Tb2 0.875 0.750 0.125
Tb3 0.375 0.750 0.625
Tb4 0.250 0.125 0.375
Tb5 0.875 0.125 0.250
Tb6 0.375 0.625 0.250
Tb7 0.625 0.375 0.750
Tb8 0.125 0.875 0.750
Tb9 0.750 0.875 0.625
Tb10 0.625 0.250 0.375
Tb11 0.125 0.250 0.875
Tb12 0.250 0.625 0.875
Cu1 0.125 0.375 0.250
Cu2 0.000 0.500 0.000
Cu3 0.000 0.000 0.000
Cu4 0.375 0.250 0.125
Cu5 0.500 0.000 0.500
Cu6 0.500 0.500 0.000
Cu7 0.125 0.750 0.375
Cu8 0.750 0.125 0.875
Cu9 0.750 0.625 0.375
Cu10 0.375 0.125 0.750
Cu11 0.625 0.875 0.250
Cu12 0.500 0.500 0.500
Cu13 0.500 0.000 0.000
Cu14 0.000 0.000 0.500
Cu15 0.250 0.375 0.625
Cu16 0.250 0.875 0.125
Cu17 0.000 0.500 0.500
Cu18 0.875 0.250 0.625
Cu19 0.625 0.750 0.875
Cu20 0.875 0.625 0.750
Te1 0.709 0.122 0.033
Te2 0.325 0.533 0.411
Te3 0.967 0.378 0.291
Te4 0.533 0.209 0.122
Te5 0.587 0.709 0.675
Te6 0.967 0.589 0.175
Te7 0.325 0.791 0.413
Te8 0.089 0.913 0.122
Te9 0.589 0.967 0.675
Te10 0.709 0.587 0.175
Te11 0.791 0.467 0.378
Te12 0.825 0.911 0.033
Te13 0.122 0.709 0.533
Te14 0.378 0.411 0.087
Te15 0.087 0.911 0.378
Te16 0.413 0.122 0.589
Te17 0.087 0.175 0.209
Te18 0.467 0.675 0.089
Te19 0.825 0.913 0.291
Te20 0.122 0.413 0.089
Te21 0.378 0.967 0.791
Te22 0.589 0.622 0.413
Te23 0.911 0.825 0.533
Te24 0.791 0.325 0.913
Te25 0.411 0.378 0.587
Te26 0.089 0.175 0.467
Te27 0.209 0.675 0.087
Te28 0.175 0.087 0.709
Te29 0.622 0.033 0.209
Te30 0.878 0.587 0.911
Te31 0.533 0.325 0.911
Te32 0.587 0.878 0.411
Te33 0.913 0.825 0.791
Te34 0.913 0.089 0.622
Te35 0.878 0.291 0.467
Te36 0.175 0.089 0.967
Te37 0.622 0.589 0.913
Te38 0.411 0.033 0.325
Te39 0.291 0.413 0.825
Te40 0.209 0.533 0.622
Te41 0.911 0.087 0.878
Te42 0.675 0.209 0.587
Te43 0.467 0.791 0.878
Te44 0.033 0.411 0.825
Te45 0.413 0.291 0.325
Te46 0.033 0.622 0.709
Te47 0.675 0.467 0.589
Te48 0.291 0.878 0.967

Values from the calculation:
Crystal system: cubic
V (Å³/atom): 28.7
Uncorrected formation energy (eV per atom): -0.4249
SG: Ia-3d
Final energy (eV/atom): -4.03

=====

First-principles (PBE-GGA) data for a geometry-optimized Tb7Cu3Te12 structure, as listed in Alexandria.

abc: 7.552 7.556 14.303
angles: 95.04 94.91 120.02
Sites, in units of the cell vectors:
Tb1 0.577 0.581 0.744
Tb2 0.331 0.663 0.997
Tb3 0.089 0.758 0.254
Tb4 0.246 0.908 0.744
Tb5 0.748 0.078 0.254
Tb6 0.919 0.255 0.744
Tb7 0.420 0.419 0.254
Cu1 0.865 0.530 0.587
Cu2 0.472 0.139 0.425
Cu3 0.808 0.811 0.425
Te1 0.290 0.289 0.873
Te2 0.803 0.462 0.386
Te3 0.955 0.624 0.875
Te4 0.709 0.707 0.126
Te5 0.454 0.787 0.386
Te6 0.873 0.878 0.617
Te7 0.624 0.958 0.873
Te8 0.379 0.044 0.126
Te9 0.128 0.136 0.384
Te10 0.534 0.201 0.617
Te11 0.044 0.378 0.128
Te12 0.210 0.539 0.616

Values from the calculation:
Crystal system: triclinic
V (Å³/atom): 31.6
Uncorrected formation energy (eV per atom): -1.1327
SG: P1
Final energy (eV/atom): -4.88

=====

First-principles (PBE-GGA) data for a geometry-optimized Tb5CuTe4 structure, as listed in Alexandria.

abc: 6.138 7.483 7.483
angles: 80.32 65.79 65.79
Sites, in units of the cell vectors:
Tb1 0.904 0.370 0.824
Tb2 0.274 0.824 0.630
Tb3 0.728 0.176 0.370
Tb4 0.098 0.630 0.176
Tb5 0.501 0.000 0.000
Cu1 0.001 0.000 0.000
Te1 0.413 0.396 0.781
Te2 0.809 0.781 0.604
Te3 0.193 0.219 0.396
Te4 0.589 0.604 0.219

Values from the calculation:
Crystal system: tetragonal
V (Å³/atom): 28.6
Uncorrected formation energy (eV per atom): -1.1031
SG: I4/m
Final energy (eV/atom): -5.08

=====

First-principles (PBE-GGA) data for a geometry-optimized Tb6CuTe5 structure, as listed in Alexandria.

abc: 7.521 7.521 7.517
angles: 99.62 99.62 119.75
Sites, in units of the cell vectors:
Te1 0.820 0.180 0.500
Te2 0.664 0.336 0.000
Te3 0.500 0.500 0.500
Te4 0.336 0.664 0.000
Te5 0.180 0.820 0.500
Tb1 0.378 0.075 0.228
Tb2 0.925 0.622 0.772
Tb3 0.223 0.223 0.761
Tb4 0.777 0.777 0.239
Tb5 0.075 0.378 0.228
Tb6 0.622 0.925 0.772
Cu1 0.000 0.000 0.000

Values from the calculation:
Crystal system: monoclinic
V (Å³/atom): 29.0
Uncorrected formation energy (eV per atom): -1.1666
SG: C2/m
Final energy (eV/atom): -5.13

=====

First-principles (PBE-GGA) data for a geometry-optimized Tb5CuTe5 structure, as listed in Alexandria.

abc: 6.152 7.508 8.572
angles: 107.14 90.00 114.19
Sites, in units of the cell vectors:
Tb1 0.842 0.684 0.158
Tb2 0.842 0.685 0.680
Tb3 0.500 0.000 0.000
Tb4 0.158 0.315 0.320
Tb5 0.158 0.316 0.842
Cu1 0.000 0.000 0.000
Te1 0.675 0.351 0.336
Te2 0.663 0.326 0.823
Te3 0.000 0.000 0.500
Te4 0.337 0.674 0.177
Te5 0.325 0.649 0.664

Values from the calculation:
Crystal system: monoclinic
V (Å³/atom): 31.1
Uncorrected formation energy (eV per atom): -1.1260
SG: C2/m
Final energy (eV/atom): -5.03

=====

First-principles (PBE-GGA) data for a geometry-optimized TbCu2Te3 structure, as listed in Alexandria.

abc: 4.150 7.477 11.273
angles: 102.60 90.00 90.00
Sites, in units of the cell vectors:
Tb1 0.250 0.759 0.308
Tb2 0.750 0.241 0.692
Cu1 0.250 0.424 0.913
Cu2 0.750 0.576 0.087
Cu3 0.750 0.044 0.421
Cu4 0.250 0.956 0.579
Te1 0.750 0.940 0.180
Te2 0.250 0.060 0.820
Te3 0.750 0.612 0.861
Te4 0.250 0.388 0.139
Te5 0.250 0.260 0.481
Te6 0.750 0.740 0.519

Values from the calculation:
Crystal system: monoclinic
V (Å³/atom): 28.4
Uncorrected formation energy (eV per atom): -0.5855
SG: P2_1/m
Final energy (eV/atom): -4.29

=====

First-principles (PBE-GGA) data for a geometry-optimized Tb4CuTe structure, as listed in Alexandria.

abc: 3.927 8.398 19.467
angles: 90.00 90.00 90.00
Sites, in units of the cell vectors:
Tb1 0.750 0.833 0.647
Tb2 0.250 0.167 0.353
Tb3 0.250 0.667 0.147
Tb4 0.750 0.333 0.853
Tb5 0.750 0.878 0.444
Tb6 0.250 0.122 0.556
Tb7 0.250 0.622 0.944
Tb8 0.750 0.378 0.056
Tb9 0.750 0.970 0.930
Tb10 0.250 0.030 0.070
Tb11 0.250 0.530 0.430
Tb12 0.750 0.470 0.570
Tb13 0.750 0.992 0.218
Tb14 0.250 0.008 0.782
Tb15 0.250 0.508 0.718
Tb16 0.750 0.492 0.282
Cu1 0.750 0.263 0.451
Cu2 0.250 0.737 0.549
Cu3 0.250 0.237 0.951
Cu4 0.750 0.763 0.049
Te1 0.750 0.711 0.812
Te2 0.250 0.289 0.188
Te3 0.250 0.789 0.312
Te4 0.750 0.211 0.688

Values from the calculation:
Crystal system: orthorhombic
V (Å³/atom): 26.8
Polymorph energy (0 for the lowest one) (eV per formula unit): 0.00
Uncorrected formation energy (eV per atom): -0.5087
SG: Pnma
Final energy (eV/atom): -4.80

=====

First-principles (PBE-GGA) data for a geometry-optimized TbCuTe structure, as listed in Alexandria.

abc: 4.376 4.376 10.964
angles: 78.49 78.49 60.00
Sites, in units of the cell vectors:
Te1 0.275 0.275 0.176
Te2 0.725 0.725 0.824
Cu1 0.170 0.170 0.490
Cu2 0.830 0.830 0.510
Tb1 0.442 0.442 0.674
Tb2 0.558 0.558 0.326

Values from the calculation:
Crystal system: trigonal
V (Å³/atom): 29.5
Uncorrected formation energy (eV per atom): -0.6975
SG: R-3m
Final energy (eV/atom): -4.65

=====

First-principles (PBE-GGA) data for a geometry-optimized TbCu3Te3 structure, as listed in Alexandria.

abc: 8.239 8.239 8.239
angles: 53.83 53.83 53.83
Sites, in units of the cell vectors:
Tb1 0.663 0.663 0.663
Tb2 0.337 0.337 0.337
Cu1 0.854 0.522 0.247
Cu2 0.522 0.247 0.854
Cu3 0.247 0.854 0.522
Cu4 0.753 0.146 0.478
Cu5 0.478 0.753 0.146
Cu6 0.146 0.478 0.753
Te1 0.075 0.772 0.400
Te2 0.400 0.075 0.772
Te3 0.772 0.400 0.075
Te4 0.228 0.600 0.925
Te5 0.600 0.925 0.228
Te6 0.925 0.228 0.600

Values from the calculation:
Crystal system: trigonal
V (Å³/atom): 24.2
Uncorrected formation energy (eV per atom): -0.5105
SG: R-3
Final energy (eV/atom): -4.27

=====

First-principles (PBE-GGA) data for a geometry-optimized Tb4CuTe structure, as listed in Alexandria.

abc: 6.165 8.215 6.488
angles: 90.00 90.00 91.17
Sites, in units of the cell vectors:
Tb1 0.603 0.627 0.750
Tb2 0.397 0.373 0.250
Tb3 0.356 0.081 0.750
Tb4 0.644 0.919 0.250
Tb5 0.121 0.695 0.000
Tb6 0.879 0.305 0.500
Tb7 0.121 0.695 0.500
Tb8 0.879 0.305 0.000
Cu1 0.245 0.411 0.750
Cu2 0.755 0.589 0.250
Te1 0.837 0.965 0.750
Te2 0.163 0.035 0.250

Values from the calculation:
Crystal system: monoclinic
V (Å³/atom): 27.4
Polymorph energy (0 for the lowest one) (eV per formula unit): 0.33
Uncorrected formation energy (eV per atom): -0.4529
SG: P2_1/m
Final energy (eV/atom): -4.75

=====

First-principles (PBE-GGA) data for a geometry-optimized Tb5Cu2Te2 structure, as listed in Alexandria.

abc: 7.878 7.758 8.693
angles: 90.00 63.06 90.00
Sites, in units of the cell vectors:
Tb1 0.000 0.000 0.000
Tb2 0.500 0.500 0.000
Tb3 0.461 0.160 0.755
Tb4 0.784 0.840 0.755
Tb5 0.284 0.660 0.755
Tb6 0.961 0.340 0.755
Tb7 0.539 0.840 0.245
Tb8 0.216 0.160 0.245
Tb9 0.716 0.340 0.245
Tb10 0.039 0.660 0.245
Cu1 0.128 0.375 0.000
Cu2 0.872 0.625 0.000
Cu3 0.372 0.875 0.000
Cu4 0.628 0.125 0.000
Te1 0.206 0.000 0.589
Te2 0.706 0.500 0.589
Te3 0.794 0.000 0.411
Te4 0.294 0.500 0.411

Values from the calculation:
Crystal system: orthorhombic
V (Å³/atom): 26.3
Uncorrected formation energy (eV per atom): -0.6804
SG: Cmce
Final energy (eV/atom): -4.86

=====

First-principles (PBE-GGA) data for a geometry-optimized Tb3CuTe6 structure, as listed in Alexandria.

abc: 7.480 9.210 9.210
angles: 96.55 90.00 90.00
Sites, in units of the cell vectors:
Tb1 0.482 0.923 0.730
Tb2 0.982 0.730 0.923
Tb3 0.384 0.395 0.605
Tb4 0.884 0.605 0.395
Tb5 0.982 0.077 0.270
Tb6 0.482 0.270 0.077
Cu1 0.028 0.218 0.782
Cu2 0.528 0.782 0.218
Te1 0.185 0.701 0.625
Te2 0.685 0.625 0.701
Te3 0.194 0.441 0.907
Te4 0.694 0.907 0.441
Te5 0.175 0.042 0.958
Te6 0.677 0.223 0.777
Te7 0.177 0.777 0.223
Te8 0.675 0.958 0.042
Te9 0.194 0.093 0.559
Te10 0.694 0.559 0.093
Te11 0.185 0.375 0.299
Te12 0.685 0.299 0.375

Values from the calculation:
Crystal system: orthorhombic
V (Å³/atom): 31.5
Uncorrected formation energy (eV per atom): -0.9832
SG: Cmc2_1
Final energy (eV/atom): -4.67

=====

First-principles (PBE-GGA) data for a geometry-optimized Tb4CuTe3 structure, as listed in Alexandria.

abc: 4.183 7.558 7.558
angles: 108.09 90.00 90.00
Sites, in units of the cell vectors:
Tb1 0.000 0.222 0.222
Tb2 0.500 0.762 0.238
Tb3 0.000 0.778 0.778
Tb4 0.500 0.238 0.762
Cu1 0.500 0.000 0.000
Te1 0.000 0.000 0.500
Te2 0.500 0.500 0.500
Te3 0.000 0.500 0.000

Values from the calculation:
Crystal system: orthorhombic
V (Å³/atom): 28.4
Uncorrected formation energy (eV per atom): -1.0373
SG: Cmmm
Final energy (eV/atom): -5.04